1.
Compound: PrThIrS
Source: Alexandria via LeMat-Bulk
Functional: GGA-PBE
Structure: relaxed

Summary:
As for the density of states at the Fermi level: 0.411 states/eV per atom. The uncorrected formation energy is -5.09 eV/f.u.

POSCAR file:
```
PrThIrS
1.0
-0.423 -2.635 3.052
1.538 -1.232 -3.542
6.570 3.825 1.523
Pr Th Ir S
1 1 1 1
Cartesian
4.204 0.996 1.953
2.023 -1.143 -2.890
6.520 1.868 0.336
2.524 -1.638 2.138
```



2.
Compound: Pr3Sb5Ir6
Source: Alexandria via LeMat-Bulk
Functional: GGA-PBE
Structure: relaxed

Summary:
As for the density of states at the Fermi level: 0.386 states/eV per atom. The uncorrected formation energy is -8.36 eV/f.u.

POSCAR file:
```
Pr3Sb5Ir6
1.0
-1.969 -3.516 1.512
9.564 -3.508 4.295
-2.637 6.168 10.908
Sb Ir Pr
10 12 6
Cartesian
8.169 -2.996 3.669
-1.862 2.893 10.427
6.486 1.094 10.987
2.679 -1.188 6.851
-0.908 0.814 6.837
2.642 3.546 11.682
-0.110 -1.207 3.177
4.582 -0.994 3.655
7.371 -0.975 7.329
1.982 0.441 9.732
6.820 -1.164 12.297
2.065 -1.926 4.335
-0.427 1.012 1.798
-1.313 3.082 5.457
5.196 -0.255 6.170
7.687 -3.194 8.707
8.574 -5.264 5.049
4.233 1.999 10.157
3.822 -3.521 2.915
0.392 1.988 11.257
-2.196 5.151 9.117
3.439 1.339 7.591
1.608 1.135 4.731
5.653 -3.316 5.775
2.481 -0.910 1.114
0.719 3.213 8.407
4.780 -1.272 9.391
3.905 0.774 13.007
```



3.
Compound: Pr6Sb2Ir
Source: Alexandria via LeMat-Bulk
Functional: GGA-PBE
Structure: relaxed

Summary:
As for the density of states at the Fermi level: 1.184 states/eV per atom. The uncorrected formation energy is -6.03 eV/f.u.

POSCAR file:
```
Pr6Sb2Ir
1.0
6.539 0.000 0.138
0.000 8.416 0.000
-0.596 0.000 10.574
Pr Sb Ir
12 4 2
Cartesian
0.655 2.703 4.845
2.112 6.920 4.845
5.288 5.713 5.866
3.831 1.496 5.867
3.626 1.505 10.201
0.859 2.712 0.511
5.084 5.703 10.201
3.896 4.002 2.776
2.047 4.413 7.935
0.329 0.205 7.995
5.614 8.210 2.717
2.317 6.910 0.510
0.435 5.172 2.677
3.407 7.452 8.033
5.508 3.244 8.035
2.536 0.964 2.679
-0.298 0.000 5.287
3.269 4.208 0.069
```



4.
Compound: Pr4Sb2Ir
Source: Alexandria via LeMat-Bulk
Functional: GGA-PBE
Structure: relaxed

Summary:
As for the density of states at the Fermi level: 0.764 states/eV per atom. The uncorrected formation energy is -5.13 eV/f.u.

POSCAR file:
```
Pr4Sb2Ir
1.0
-0.740 -6.014 3.348
0.995 -3.373 -5.839
9.469 2.599 0.112
Pr Sb Ir
8 4 2
Cartesian
0.776 -6.109 1.672
1.857 -2.242 1.594
8.948 -0.679 -4.051
4.938 -4.618 1.520
7.374 -2.874 -1.079
7.867 -4.546 -3.974
2.350 -3.914 -1.300
4.787 -2.170 -3.899
8.898 -0.075 -0.430
0.826 -6.713 -1.949
4.381 -1.365 -0.455
5.343 -5.424 -1.925
2.222 -2.919 -3.903
7.503 -3.869 1.524
```



5.
Compound: PrSb2Ir
Source: Alexandria via LeMat-Bulk
Functional: GGA-PBE
Structure: relaxed

Summary:
As for the density of states at the Fermi level: 0.777 states/eV per atom. The uncorrected formation energy is -0.18 eV/f.u.

POSCAR file:
```
PrSb2Ir
1.0
-1.618 2.847 1.605
-1.835 -0.465 3.117
7.073 2.587 6.684
Sb Ir Pr
2 1 1
Cartesian
4.359 1.995 4.997
-0.739 2.973 6.409
1.810 2.484 5.703
0.000 0.000 0.000
```



6.
Compound: Pr4SbIr
Source: Alexandria via LeMat-Bulk
Functional: GGA-PBE
Structure: relaxed

Summary:
As for the density of states at the Fermi level: 0.776 states/eV per atom. The uncorrected formation energy is -3.26 eV/f.u.

POSCAR file:
```
Pr4SbIr
1.0
5.881 0.000 0.000
0.000 8.061 0.519
-2.940 -2.714 7.798
Pr Sb Ir
8 2 2
Cartesian
-0.823 0.154 2.919
3.838 3.169 1.423
0.900 -1.848 6.636
0.824 4.183 3.180
-0.896 2.177 6.895
3.765 5.193 5.399
2.042 7.195 1.682
2.118 1.164 5.138
0.824 2.014 0.132
2.118 3.332 8.186
1.471 -1.357 3.899
-1.470 2.674 4.159
```



7.
Compound: Pr2Sb4Ir3
Source: Alexandria via LeMat-Bulk
Functional: GGA-PBE
Structure: relaxed

Summary:
As for the density of states at the Fermi level: 0.550 states/eV per atom. The uncorrected formation energy is -6.33 eV/f.u.

POSCAR file:
```
Pr2Sb4Ir3
1.0
4.606 0.000 0.000
0.000 11.102 0.000
0.000 0.000 16.336
Ir Sb Pr
12 16 8
Cartesian
3.454 8.618 11.121
3.454 6.176 14.821
1.151 4.925 1.515
1.151 2.484 5.216
1.151 5.167 9.094
1.151 0.384 0.926
3.454 10.476 6.653
3.454 8.035 2.952
3.454 5.934 7.242
3.454 10.718 15.411
1.151 0.626 9.683
1.151 3.067 13.384
3.454 6.130 1.111
3.454 10.419 1.721
1.151 9.827 11.598
1.151 3.053 10.635
1.151 4.972 15.225
1.151 0.683 14.615
1.151 2.498 2.467
3.454 1.275 4.738
1.151 4.868 6.447
3.454 8.049 5.702
3.454 6.234 9.889
3.454 10.523 9.279
3.454 8.603 13.870
3.454 4.276 12.907
1.151 0.579 7.057
1.151 6.825 3.430
3.454 2.758 16.234
3.454 0.984 12.232
3.454 2.793 8.066
1.151 6.535 12.273
1.151 8.343 0.102
1.151 10.117 4.105
3.454 4.566 4.063
1.151 8.309 8.270
```



8.
Compound: Pr5Sb2Ir
Source: Alexandria via LeMat-Bulk
Functional: GGA-PBE
Structure: relaxed

Summary:
As for the density of states at the Fermi level: 0.971 states/eV per atom. The uncorrected formation energy is -3.97 eV/f.u.

POSCAR file:
```
Pr5Sb2Ir
1.0
-5.441 -1.544 2.573
5.682 -0.982 3.924
-1.370 13.943 5.471
Sb Pr Ir
4 10 2
Cartesian
0.324 7.180 4.994
-0.936 -1.023 4.910
-1.453 4.238 6.974
-0.193 12.441 7.058
0.705 9.432 7.150
-1.334 9.947 10.652
0.205 1.470 1.316
1.997 0.137 4.304
-3.125 11.280 7.664
-0.148 5.062 2.725
-0.981 6.355 9.243
-2.716 7.110 6.027
-1.833 1.986 4.818
1.587 4.307 5.941
0.976 2.705 3.687
-2.105 8.712 8.281
```



9.
Compound: Pr6SbIr2Se3
Source: Alexandria via LeMat-Bulk
Functional: GGA-PBE
Structure: relaxed

Summary:
As for the density of states at the Fermi level: 0.447 states/eV per atom. The uncorrected formation energy is -15.37 eV/f.u.

POSCAR file:
```
Pr6SbIr2Se3
1.0
-0.396 3.234 2.735
3.074 -5.126 6.507
7.862 2.537 -5.169
Ir Pr Se Sb
2 6 3 1
Cartesian
6.921 0.963 3.172
3.619 -0.318 0.901
9.570 1.907 2.439
7.751 -1.843 3.303
0.970 -1.262 1.633
4.227 0.134 3.763
2.789 2.488 0.770
6.314 0.511 0.310
5.037 -2.954 4.223
1.339 -0.946 4.621
5.504 3.599 -0.150
-0.198 1.617 1.367
```



10.
Compound: Pr2SnSb3Ir4
Source: Alexandria via LeMat-Bulk
Functional: GGA-PBE
Structure: relaxed

Summary:
As for the density of states at the Fermi level: 0.715 states/eV per atom. The uncorrected formation energy is -6.02 eV/f.u.

POSCAR file:
```
Pr2SnSb3Ir4
1.0
-3.842 -0.564 -2.223
-0.624 -3.916 2.073
-5.385 5.102 8.014
Sb Sn Ir Pr
3 1 4 2
Cartesian
-1.038 -1.270 2.118
-2.692 2.551 4.007
-6.580 4.132 5.822
-4.926 0.311 3.932
0.000 0.000 0.000
-5.313 2.932 3.937
-2.233 -2.240 -0.075
-2.305 -0.070 4.002
-3.240 0.967 0.851
-4.379 1.895 7.088
```



11.
Compound: Pr6SbTe3Ir2
Source: Alexandria via LeMat-Bulk
Functional: GGA-PBE
Structure: relaxed

Summary:
As for the density of states at the Fermi level: 0.415 states/eV per atom. The uncorrected formation energy is -13.40 eV/f.u.

POSCAR file:
```
Pr6SbTe3Ir2
1.0
-4.275 0.889 -0.131
-0.283 -2.644 -8.716
0.303 -8.479 5.414
Pr Sb Te Ir
6 1 3 2
Cartesian
-2.796 -2.611 0.697
-1.459 -7.624 -4.130
-2.947 -3.894 -3.089
-1.308 -6.340 -0.343
-4.121 -9.289 -1.384
-0.134 -0.946 -2.048
-2.137 0.444 -0.065
-3.431 -5.451 2.162
-0.824 -4.784 -5.595
-2.279 -0.878 -4.423
-3.537 -6.615 -2.299
-0.718 -3.619 -1.133
```



12.
Compound: Pr2ThSb3Ir4
Source: Alexandria via LeMat-Bulk
Functional: GGA-PBE
Structure: relaxed

Summary:
As for the density of states at the Fermi level: 0.742 states/eV per atom. The uncorrected formation energy is -6.58 eV/f.u.

POSCAR file:
```
Pr2ThSb3Ir4
1.0
4.480 0.000 0.000
0.000 4.480 0.000
0.000 0.000 11.568
Pr Ir Sb Th
2 4 3 1
Cartesian
0.000 2.240 9.058
2.240 0.000 2.511
2.240 2.240 0.000
2.240 0.000 7.456
0.000 2.240 4.112
0.000 0.000 0.000
0.000 2.240 1.517
2.240 0.000 10.051
0.000 0.000 5.784
2.240 2.240 5.784
```



13.
Compound: Pr2TmSb3Ir4
Source: Alexandria via LeMat-Bulk
Functional: GGA-PBE
Structure: relaxed

Summary:
As for the density of states at the Fermi level: 0.557 states/eV per atom. The uncorrected formation energy is -6.98 eV/f.u.

POSCAR file:
```
Pr2TmSb3Ir4
1.0
4.364 0.000 0.000
0.000 4.364 0.000
0.000 0.000 11.641
Ir Tm Pr Sb
4 1 2 3
Cartesian
0.000 2.182 4.128
0.000 0.000 0.000
2.182 0.000 7.512
2.182 2.182 0.000
2.182 2.182 5.820
2.182 0.000 2.709
0.000 2.182 8.932
0.000 0.000 5.820
0.000 2.182 1.540
2.182 0.000 10.101
```



14.
Compound: Pr2ZrSb3Ir4
Source: Alexandria via LeMat-Bulk
Functional: GGA-PBE
Structure: relaxed

Summary:
As for the density of states at the Fermi level: 0.666 states/eV per atom. The uncorrected formation energy is -7.00 eV/f.u.

POSCAR file:
```
Pr2ZrSb3Ir4
1.0
-2.467 -3.117 1.807
3.591 -2.303 0.931
0.755 5.276 10.133
Pr Ir Zr Sb
2 4 1 3
Cartesian
2.373 2.885 8.217
-1.056 -0.318 3.285
2.069 0.757 4.130
0.000 0.000 0.000
0.562 -2.710 1.369
-0.751 1.810 7.372
0.940 -0.072 6.435
1.898 -0.439 1.833
0.378 2.638 5.066
-0.580 3.005 9.668
```



15.
Compound: Pr3ScIr8
Source: Alexandria via LeMat-Bulk
Functional: GGA-PBE
Structure: relaxed

Summary:
As for the density of states at the Fermi level: 0.863 states/eV per atom. Its formation energy is -664 meV per atom.

POSCAR file:
```
Pr3ScIr8
1.0
5.180 0.000 1.564
2.354 4.614 1.564
0.000 0.000 9.363
Ir Sc Pr
8 1 3
Cartesian
7.069 4.330 9.317
5.900 2.037 8.541
5.181 3.173 10.923
4.496 4.330 8.541
5.869 2.014 3.946
3.288 2.014 3.166
4.461 4.313 3.946
1.416 0.867 4.672
6.581 4.031 6.282
3.777 2.313 6.212
2.828 1.732 9.355
7.520 4.605 3.174
```



16.
Compound: PrSc2Ir
Source: Alexandria via LeMat-Bulk
Functional: GGA-PBE
Structure: relaxed

Summary:
As for the density of states at the Fermi level: 1.022 states/eV per atom. Its formation energy is -491 meV per atom. For the relative energy among the computed polymorphs, the calculation gives 0 meV per atom.

POSCAR file:
```
PrSc2Ir
1.0
3.297 0.000 0.000
0.000 3.297 0.000
0.000 0.000 8.502
Pr Sc Ir
1 2 1
Cartesian
1.649 1.649 4.251
0.000 0.000 6.944
0.000 0.000 1.558
1.649 1.649 0.000
```



17.
Compound: PrSc2Ir
Source: Alexandria via LeMat-Bulk
Functional: GGA-PBE
Structure: relaxed

Summary:
As for the density of states at the Fermi level: 1.029 states/eV per atom. Its formation energy is -334 meV per atom. For the relative energy among the computed polymorphs, the calculation gives 157 meV per atom.

POSCAR file:
```
PrSc2Ir
1.0
-0.855 3.156 2.931
-3.934 0.186 1.942
0.431 -2.469 6.074
Ir Sc Pr
1 2 1
Cartesian
0.000 0.000 0.000
-3.042 0.256 8.706
-1.315 0.618 2.241
-2.179 0.437 5.474
```



18.
Compound: PrSc2Ir
Source: Alexandria via LeMat-Bulk
Functional: GGA-PBE
Structure: relaxed

Summary:
As for the density of states at the Fermi level: 0.789 states/eV per atom. Its formation energy is -426 meV per atom. For the relative energy among the computed polymorphs, the calculation gives 64 meV per atom.

POSCAR file:
```
PrSc2Ir
1.0
4.449 0.000 0.000
2.225 3.853 0.000
2.225 1.284 6.048
Sc Pr Ir
2 1 1
Cartesian
2.225 1.284 5.208
2.225 1.284 0.852
4.449 2.569 3.082
6.674 3.853 5.979
```



19.
Compound: PrScIr4
Source: Alexandria via LeMat-Bulk
Functional: GGA-PBE
Structure: relaxed

Summary:
As for the density of states at the Fermi level: 0.885 states/eV per atom. Its formation energy is -669 meV per atom.

POSCAR file:
```
PrScIr4
1.0
5.356 0.000 0.000
2.678 4.639 0.000
2.678 1.546 4.373
Ir Sc Pr
4 1 1
Cartesian
5.356 1.552 2.731
4.022 3.863 2.731
5.356 3.092 0.552
6.691 3.863 2.731
2.678 1.546 1.093
0.000 0.000 0.000
```



20.
Compound: PrScIr2
Source: Alexandria via LeMat-Bulk
Functional: GGA-PBE
Structure: relaxed

Summary:
As for the density of states at the Fermi level: 0.270 states/eV per atom. Its formation energy is -695 meV per atom. For the relative energy among the computed polymorphs, the calculation gives 0 meV per atom.

POSCAR file:
```
PrScIr2
1.0
3.287 0.000 0.000
0.000 3.287 0.000
0.000 0.000 7.246
Ir Pr Sc
2 1 1
Cartesian
0.000 0.000 1.573
0.000 0.000 5.673
1.643 1.643 3.623
1.643 1.643 0.000
```